(1)
Compound: Y2Ho6TmTh
Source: Alexandria
Functional: GGA-PBE
Structure: optimized geometry

Lattice parameters (Å, degrees): 8.924 8.923 8.923 116.35 90.68 90.68
Positions (direct):
Y  0.562  0.205  0.317
Th  0.250  0.963  0.037
Ho  0.438  0.219  0.873
Tm  0.750  0.578  0.422
Ho  0.099  0.725  0.477
Y  0.062  0.317  0.205
Ho  0.938  0.873  0.219
Y  0.938  0.683  0.795
Ho  0.401  0.523  0.275
Y  0.438  0.795  0.683
Ho  0.901  0.275  0.523
Ho  0.062  0.127  0.781
Ho  0.801  0.436  0.004
Ho  0.699  0.996  0.564
Tm  0.250  0.422  0.578
Ho  0.599  0.477  0.725
Th  0.750  0.037  0.963
Ho  0.301  0.004  0.436
Ho  0.199  0.564  0.996
Ho  0.562  0.781  0.127

Values from the calculation:
Its size of the total moment is 0.0 μB/f.u. As for the space-group type: No. 15.

=====

(2)
Compound: YHo2Tm5Th
Source: Alexandria
Functional: GGA-PBE
Structure: optimized geometry

Lattice parameters (Å, degrees): 8.746 8.746 9.608 117.07 117.07 90.00
Positions (direct):
Y  0.250  0.750  0.500
Tm  0.074  0.574  0.730
Tm  0.500  0.500  0.000
Ho  0.887  0.613  0.000
Tm  0.344  0.844  0.270
Tm  0.000  0.000  0.000
Tm  0.574  0.656  0.730
Tm  0.156  0.074  0.730
Ho  0.113  0.387  0.000
Tm  0.656  0.156  0.730
Ho  0.387  0.887  0.000
Y  0.750  0.250  0.500
Tm  0.926  0.426  0.270
Th  0.250  0.250  0.500
Ho  0.613  0.113  0.000
Th  0.750  0.750  0.500
Tm  0.844  0.926  0.270
Tm  0.426  0.344  0.270

Values from the calculation:
Its size of the total moment is 0.0 μB/f.u. As for the space-group type: No. 140.

=====

(3)
Compound: Y2HoTm5Th
Source: Alexandria
Functional: GGA-PBE
Structure: optimized geometry

Lattice parameters (Å, degrees): 5.640 10.985 9.671 90.00 90.00 104.87
Positions (direct):
Y  0.870  0.740  0.211
Ho  0.807  0.615  0.518
Ho  0.193  0.385  0.018
Th  0.595  0.190  0.924
Tm  0.530  0.060  0.240
Y  0.886  0.772  0.827
Tm  0.695  0.389  0.218
Y  0.130  0.260  0.711
Tm  0.305  0.611  0.718
Tm  0.985  0.970  0.519
Tm  0.015  0.030  0.019
Th  0.405  0.810  0.424
Tm  0.398  0.796  0.039
Y  0.114  0.228  0.327
Tm  0.602  0.204  0.539
Tm  0.270  0.540  0.328
Tm  0.730  0.460  0.828
Tm  0.470  0.940  0.740

Values from the calculation:
Its size of the total moment is 0.0 μB/f.u. As for the space-group type: No. 36.

=====

Number 1: formation energy 0.1537 eV per atom. Number 2: formation energy 0.3241 eV per atom. Number 3: formation energy 0.1693 eV per atom.